No. 1
Entry from Alexandria: crystalline Y3Zn4Au2 at its relaxed geometry (GGA-PBE).

D(E_F): 12.83 states/eV/cell
Uncorrected energy: -4.0285 eV per atom
E_form: -0.579 eV/atom

```
data_Y3Zn4Au2
_chemical_formula_sum 'Y6 Zn8 Au4'
_cell_length_a 10.593
_cell_length_b 4.496
_cell_length_c 8.639
_cell_angle_alpha 90.00
_cell_angle_beta 114.36
_cell_angle_gamma 90.00
_symmetry_space_group_name_H-M 'C 1 2/m 1'
_symmetry_Int_Tables_number 12
_symmetry_space_group_name_Hall '-C 2y'
loop_
_atom_site_label
_atom_site_fract_x
_atom_site_fract_y
_atom_site_fract_z
Y1 0.000 0.000 0.000
Y2 0.172 0.500 0.662
Zn1 0.045 0.000 0.385
Zn2 0.224 0.500 0.052
Au1 0.106 0.500 0.272
```

---

No. 2
Entry from Alexandria: crystalline YScCr at its relaxed geometry (GGA-PBE).

D(E_F): 18.07 states/eV/cell
Uncorrected energy: -6.8788 eV per atom
E_form: 0.594 eV/atom
Distance to the lowest polymorph of the same formula: 327.9 meV per atom

```
data_YScCr
_chemical_formula_sum 'Y4 Sc4 Cr4'
_cell_length_a 6.820
_cell_length_b 6.820
_cell_length_c 6.820
_cell_angle_alpha 90.00
_cell_angle_beta 90.00
_cell_angle_gamma 90.00
_symmetry_space_group_name_H-M 'F -4 3 m'
_symmetry_Int_Tables_number 216
_symmetry_space_group_name_Hall 'F -4 2 3'
loop_
_atom_site_label
_atom_site_fract_x
_atom_site_fract_y
_atom_site_fract_z
Y1 0.000 0.000 0.000
Sc1 0.000 0.000 0.500
Cr1 0.250 0.250 0.250
```

---

No. 3
Entry from Alexandria: crystalline ZrReSi at its relaxed geometry (GGA-PBE).

Energy relative to the elements, uncorrected: -0.40 eV/atom
D(E_F): 8.44 states/eV/cell
Uncorrected energy: -9.2036 eV per atom

```
data_ZrReSi
_chemical_formula_sum 'Zr4 Re4 Si4'
_cell_length_a 3.359
_cell_length_b 8.795
_cell_length_c 6.980
_cell_angle_alpha 90.00
_cell_angle_beta 90.00
_cell_angle_gamma 90.00
_symmetry_space_group_name_H-M 'P m c 21'
_symmetry_Int_Tables_number 26
_symmetry_space_group_name_Hall 'P 2c -2'
loop_
_atom_site_label
_atom_site_fract_x
_atom_site_fract_y
_atom_site_fract_z
Zr1 0.000 0.086 0.000
Zr2 0.000 0.363 0.564
Re1 0.500 0.160 0.317
Re2 0.500 0.341 0.922
Si1 0.500 0.121 0.680
Si2 0.500 0.424 0.247
```

---

No. 4
Entry from Alexandria: crystalline KY2Cd at its relaxed geometry (GGA-PBE).

D(E_F): 10.83 states/eV/cell
Uncorrected energy: -3.4686 eV per atom
E_form: 0.267 eV/atom

```
data_KY2Cd
_chemical_formula_sum 'K2 Y4 Cd2'
_cell_length_a 11.537
_cell_length_b 3.501
_cell_length_c 7.387
_cell_angle_alpha 90.00
_cell_angle_beta 97.73
_cell_angle_gamma 90.00
_symmetry_space_group_name_H-M 'C 1 m 1'
_symmetry_Int_Tables_number 8
_symmetry_space_group_name_Hall 'C -2y'
loop_
_atom_site_label
_atom_site_fract_x
_atom_site_fract_y
_atom_site_fract_z
K1 0.000 0.000 0.000
Y1 0.227 0.000 0.656
Y2 0.485 0.000 0.480
Cd1 0.246 0.500 0.306
```

---

No. 5
Entry from Alexandria: crystalline TaSiNi2 at its relaxed geometry (GGA-PBE).

Energy relative to the elements, uncorrected: -0.26 eV/atom
D(E_F): 3.18 states/eV/cell
Uncorrected energy: -7.4649 eV per atom

```
data_TaSiNi2
_chemical_formula_sum 'Ta1 Si1 Ni2'
_cell_length_a 2.772
_cell_length_b 3.596
_cell_length_c 5.280
_cell_angle_alpha 90.00
_cell_angle_beta 90.00
_cell_angle_gamma 90.00
_symmetry_space_group_name_H-M 'P m m m'
_symmetry_Int_Tables_number 47
_symmetry_space_group_name_Hall '-P 2 2'
loop_
_atom_site_label
_atom_site_fract_x
_atom_site_fract_y
_atom_site_fract_z
Ta1 0.000 0.000 0.000
Si1 0.000 0.000 0.500
Ni1 0.500 0.500 0.261
```

---

No. 6
Entry from Alexandria: crystalline Zn2SeBr at its relaxed geometry (GGA-PBE).

Energy relative to the elements, uncorrected: -0.26 eV/atom
D(E_F): 8.56 states/eV/cell
Uncorrected energy: -2.1821 eV per atom
Distance to the lowest polymorph of the same formula: 105.2 meV per atom

```
data_Zn2SeBr
_chemical_formula_sum 'Zn6 Se3 Br3'
_cell_length_a 3.9321
_cell_length_b 3.9321
_cell_length_c 22.4694
_cell_angle_alpha 90.00
_cell_angle_beta 90.00
_cell_angle_gamma 120.00
_symmetry_space_group_name_H-M 'R 3 m'
_symmetry_Int_Tables_number 160
_symmetry_space_group_name_Hall 'R 3 -2"'
loop_
_atom_site_label
_atom_site_fract_x
_atom_site_fract_y
_atom_site_fract_z
Zn1 0.0000 0.0000 0.0000
Zn2 0.0000 0.0000 0.2455
Se1 0.0000 0.0000 0.7033
Br1 0.0000 0.0000 0.5151
```

---

No. 7
Entry from Alexandria: crystalline Ho6Er3Tm at its relaxed geometry (GGA-PBE).

D(E_F): 57.91 states/eV/cell
Uncorrected energy: -4.4135 eV per atom
E_form: 0.149 eV/atom
Distance to the lowest polymorph of the same formula: 23.9 meV per atom

```
data_Ho6Er3Tm
_chemical_formula_sum 'Ho24 Er12 Tm4'
_cell_length_a 10.869
_cell_length_b 18.757
_cell_length_c 6.113
_cell_angle_alpha 90.00
_cell_angle_beta 90.00
_cell_angle_gamma 90.00
_symmetry_space_group_name_H-M 'C m c 21'
_symmetry_Int_Tables_number 36
_symmetry_space_group_name_Hall 'C 2c -2'
loop_
_atom_site_label
_atom_site_fract_x
_atom_site_fract_y
_atom_site_fract_z
Ho1 0.000 0.048 0.000
Ho2 0.000 0.283 0.722
Ho3 0.165 0.454 0.612
Ho4 0.248 0.290 0.436
Er1 0.000 0.390 0.149
Er2 0.170 0.109 0.534
Tm1 0.000 0.208 0.225
```

---

No. 8
Entry from Alexandria: crystalline CoWBr2 at its relaxed geometry (GGA-PBE).

Energy relative to the elements, uncorrected: 0.92 eV/atom
D(E_F): 14.51 states/eV/cell
Uncorrected energy: -4.9282 eV per atom
Distance to the lowest polymorph of the same formula: 740.7 meV per atom

```
data_CoWBr2
_chemical_formula_sum 'Co3 W3 Br6'
_cell_length_a 3.1214
_cell_length_b 3.1214
_cell_length_c 23.9784
_cell_angle_alpha 90.00
_cell_angle_beta 90.00
_cell_angle_gamma 120.00
_symmetry_space_group_name_H-M 'R -3 m'
_symmetry_Int_Tables_number 166
_symmetry_space_group_name_Hall '-R 3 2"'
loop_
_atom_site_label
_atom_site_fract_x
_atom_site_fract_y
_atom_site_fract_z
Co1 0.0000 0.0000 0.0000
W1 0.0000 0.0000 0.5000
Br1 0.0000 0.0000 0.2522
```

---

No. 9
Entry from Alexandria: crystalline Tb3Zr2Cd2 at its relaxed geometry (GGA-PBE).

D(E_F): 14.27 states/eV/cell
Uncorrected energy: -4.7502 eV per atom
E_form: -0.062 eV/atom

```
data_Tb3Zr2Cd2
_chemical_formula_sum 'Tb6 Zr4 Cd4'
_cell_length_a 4.940
_cell_length_b 22.688
_cell_length_c 3.299
_cell_angle_alpha 90.00
_cell_angle_beta 90.00
_cell_angle_gamma 90.00
_symmetry_space_group_name_H-M 'C m m m'
_symmetry_Int_Tables_number 65
_symmetry_space_group_name_Hall '-C 2 2'
loop_
_atom_site_label
_atom_site_fract_x
_atom_site_fract_y
_atom_site_fract_z
Tb1 0.000 0.000 0.000
Tb2 0.000 0.149 0.000
Zr1 0.000 0.276 0.500
Cd1 0.000 0.426 0.500
```

---

No. 10
Entry from Alexandria: crystalline Sm3Zn2Hg2 at its relaxed geometry (GGA-PBE).

D(E_F): 8.53 states/eV/cell
Uncorrected energy: -2.7796 eV per atom
E_form: -0.307 eV/atom

```
data_Sm3Zn2Hg2
_chemical_formula_sum 'Sm6 Zn4 Hg4'
_cell_length_a 8.710
_cell_length_b 5.013
_cell_length_c 8.322
_cell_angle_alpha 90.00
_cell_angle_beta 90.02
_cell_angle_gamma 90.00
_symmetry_space_group_name_H-M 'C 1 2/m 1'
_symmetry_Int_Tables_number 12
_symmetry_space_group_name_Hall '-C 2y'
loop_
_atom_site_label
_atom_site_fract_x
_atom_site_fract_y
_atom_site_fract_z
Sm1 0.000 0.000 0.000
Sm2 0.166 0.500 0.641
Zn1 0.002 0.000 0.352
Hg1 0.167 0.500 0.201
```

---

No. 11
Entry from Alexandria: crystalline Na2AlS at its relaxed geometry (GGA-PBE).

Energy relative to the elements, uncorrected: -0.11 eV/atom
D(E_F): 7.03 states/eV/cell
Uncorrected energy: -2.7342 eV per atom
Distance to the lowest polymorph of the same formula: 0.0 meV per atom

```
data_Na2AlS
_chemical_formula_sum 'Na8 Al4 S4'
_cell_length_a 7.149
_cell_length_b 7.149
_cell_length_c 7.149
_cell_angle_alpha 90.00
_cell_angle_beta 90.00
_cell_angle_gamma 90.00
_symmetry_space_group_name_H-M 'F m -3 m'
_symmetry_Int_Tables_number 225
_symmetry_space_group_name_Hall '-F 4 2 3'
loop_
_atom_site_label
_atom_site_fract_x
_atom_site_fract_y
_atom_site_fract_z
Na1 0.250 0.250 0.250
Al1 0.000 0.000 0.000
S1 0.000 0.000 0.500
```

---

No. 12
Entry from Alexandria: crystalline LaH2Pb at its relaxed geometry (GGA-PBE).

D(E_F): 8.90 states/eV/cell
Uncorrected energy: -3.9278 eV per atom
Distance to the lowest polymorph of the same formula: 82.4 meV per atom

```
data_LaH2Pb
_chemical_formula_sum 'La4 H8 Pb4'
_cell_length_a 6.481
_cell_length_b 6.481
_cell_length_c 6.481
_cell_angle_alpha 90.00
_cell_angle_beta 90.00
_cell_angle_gamma 90.00
_symmetry_space_group_name_H-M 'F m -3 m'
_symmetry_Int_Tables_number 225
_symmetry_space_group_name_Hall '-F 4 2 3'
loop_
_atom_site_label
_atom_site_fract_x
_atom_site_fract_y
_atom_site_fract_z
La1 0.000 0.000 0.000
H1 0.250 0.250 0.250
Pb1 0.000 0.000 0.500
```

---

Size of the total moment across the listed records, respectively: 0.00, 3.17, 0.00, 0.54, 0.00, 0.00, 0.00, 0.92, 0.14, 0.00, 0.00, 0.00 μB/f.u..